(i)
Density functional theory data (PBE-GGA) for a relaxed Pm2SBr crystal.

Calculated values
Crystal system: trigonal
Symmetry: R3m
DOS(E_F) (states/eV per atom): 1.047

Unit cell a=4.548 b=4.548 c=8.148 alpha=73.84 beta=73.83 gamma=60.08
Positions (direct):
Pm (0.086, 0.531, 0.642)
Pm (0.634, 0.079, 0.995)
S (0.761, 0.206, 0.614)
Br (0.223, 0.669, 0.228)



(ii)
Density functional theory data (PBE-GGA) for a relaxed Pm2SBr crystal.

Calculated values
Crystal system: trigonal
Symmetry: R3m
DOS(E_F) (states/eV per atom): 0.674

Unit cell a=3.916 b=3.916 c=8.074 alpha=75.97 beta=75.97 gamma=60.00
Positions (direct):
Pm (0.069, 0.069, 0.793)
Pm (0.266, 0.266, 0.203)
S (0.666, 0.666, 0.001)
Br (0.499, 0.499, 0.503)



Most stable structure: (ii)



(i)
Density functional theory data (PBE-GGA) for a relaxed Pm2SbBr crystal.

Calculated values
Crystal system: trigonal
Symmetry: R3m
DOS(E_F) (states/eV per atom): 0.453

Unit cell a=4.310 b=4.310 c=8.094 alpha=74.56 beta=74.56 gamma=60.00
Positions (direct):
Pm (0.076, 0.076, 0.772)
Pm (0.258, 0.258, 0.227)
Sb (0.668, 0.668, 0.997)
Br (0.499, 0.499, 0.504)



(ii)
Density functional theory data (PBE-GGA) for a relaxed Pm2SbBr crystal.

Calculated values
Crystal system: tetragonal
Symmetry: P4/mmm
DOS(E_F) (states/eV per atom): 0.891

Unit cell a=3.833 b=3.833 c=7.618 alpha=90.00 beta=90.00 gamma=90.00
Site moments in Bohr magnetons follow the coordinates.
Positions (direct):
Sb (0.500, 0.500, 0.000)  -0.01
Br (0.500, 0.500, 0.500)  0.00
Pm (0.000, 0.000, 0.768)  0.21
Pm (0.000, 0.000, 0.232)  0.21



(iii)
Density functional theory data (PBE-GGA) for a relaxed Pm2SbBr crystal.

Calculated values
Crystal system: cubic
Symmetry: Fm-3m
DOS(E_F) (states/eV per atom): 0.824

Unit cell a=5.377 b=5.377 c=5.377 alpha=60.00 beta=60.00 gamma=60.00
Positions (direct):
Sb (0.000, 0.000, 0.000)
Br (0.500, 0.500, 0.500)
Pm (0.250, 0.250, 0.250)
Pm (0.750, 0.750, 0.750)



Most stable structure: (i)